Here is a geometry-optimized Pm6Er2Tl structure from the Alexandria database. Energies are from PBE.

Cell and atoms, written as POSCAR:
```
Pm6Er2Tl
1.0
-0.6243 4.5976 1.7750
1.0604 -3.7478 10.0799
10.6689 1.6417 -0.5119
Pm Tl Er
12 2 4
Direct
0.0000 0.9976 0.1660 Pm
0.5003 0.8413 0.3412 Pm
0.4997 0.1587 0.6588 Pm
0.9997 0.3413 0.1589 Pm
0.0002 0.6661 0.4975 Pm
0.4998 0.1660 0.0025 Pm
0.5000 0.4976 0.3340 Pm
0.0003 0.6587 0.8411 Pm
0.5000 0.5024 0.6660 Pm
0.5002 0.8340 0.9975 Pm
0.9998 0.3339 0.5025 Pm
0.0000 0.0024 0.8340 Pm
0.5000 0.5000 0.0000 Tl
0.0000 0.0000 0.5000 Tl
0.4997 0.1637 0.3364 Er
0.5003 0.8363 0.6636 Er
0.9997 0.3363 0.8364 Er
0.0003 0.6637 0.1636 Er
```

Values from the calculation:
- energy relative to the lowest polymorph listed for this composition (meV per atom) = 0
- energy relative to the elements (eV/atom) = -0.04